[1]
Below is crystalline PtW3 at its relaxed geometry, with properties calculated at the GGA-PBE level.

Values from the calculation:
Magnetization = 0.00 Bohr magnetons per cell
Calculated formation energy = 0.110 eV per atom

Cell lengths 3.3122, 3.3122, 5.8676 Å; angles 90.00, 90.00, 90.00 degrees
Space group P4/mmm (No. 123)
One atom of each set of equivalent atoms:
Pt: 0.0000 0.0000 0.0000 [1 per cell]
W: 0.0000 0.0000 0.5000 [1 per cell]
W: 0.5000 0.5000 0.2519 [2 per cell]

[2]
Below is crystalline NbPdN2 at its relaxed geometry, with properties calculated at the GGA-PBE level.

Values from the calculation:
Magnetization = 0.00 Bohr magnetons per cell
Distance to the lowest polymorph of the same formula = 72.33 kJ per mole of atoms

Cell lengths 5.5359, 5.5359, 5.5359 Å; angles 90.00, 90.00, 90.00 degrees
Space group Fm-3m (No. 225)
One atom of each set of equivalent atoms:
Nb: 0.0000 0.0000 0.0000 [4 per cell]
Pd: 0.0000 0.0000 0.5000 [4 per cell]
N: 0.2500 0.2500 0.2500 [8 per cell]

[3]
Below is crystalline NbTePtI2 at its relaxed geometry, with properties calculated at the GGA-PBE level.

Values from the calculation:
Magnetization = 2.81 Bohr magnetons per cell
Distance to the lowest polymorph of the same formula = 1.84 kJ per mole of atoms

Cell lengths 5.3935, 5.3935, 5.3574 Å; angles 90.00, 90.00, 90.00 degrees
Space group P4/mmm (No. 123)
One atom of each set of equivalent atoms:
Nb: 0.0000 0.0000 0.0000 [1 per cell]
Te: 0.5000 0.5000 0.0000 [1 per cell]
Pt: 0.5000 0.5000 0.5000 [1 per cell]
I: 0.0000 0.5000 0.5000 [2 per cell]